This record from the Alexandria database describes an optimized crystal structure of TcSbSe. The functional is PBE.

Lattice parameters (Å, degrees): 3.1010 3.1010 13.6007 90.00 90.00 90.00
Space group I4mm (No. 107)
One atom of each set of equivalent atoms:
Tc 0.0000 0.0000 0.0000
Sb 0.0000 0.0000 0.3600
Se 0.0000 0.0000 0.6033

Calculated values
Formation energy from raw total energies ... -0.085 eV/atom
Magnetization ... 0.00 μB per cell
Final energy ... -6.076 eV per atom
Excess energy over the best structure of this formula in the dataset ... 149 meV per atom